1.
A plane-wave DFT calculation with PBE was carried out for DyBiH after structural relaxation.

E above lowest polymorph in meV/atom: 0
Density of states at the Fermi level in states/eV/atom: 0.24
Magnetic moment in μB/f.u.: 0.000

Cell: 4.019 6.267 7.673 Å, 51.57 58.32 71.22°
Sites, in units of the cell vectors:
Dy (0.139, 0.735, 0.694)
Dy (0.221, 0.554, 0.202)
Bi (0.429, 0.190, 0.677)
Bi (0.931, 0.099, 0.220)
H (0.808, 0.705, 0.040)
H (0.551, 0.584, 0.856)

---

2.
A plane-wave DFT calculation with PBE was carried out for DyBiH after structural relaxation.

E above lowest polymorph in meV/atom: 0
Density of states at the Fermi level in states/eV/atom: 0.47
Magnetic moment in μB/f.u.: 0.000

Cell: 4.844 3.802 3.802 Å, 120.00 90.00 90.00°
Sites, in units of the cell vectors:
H (0.166, 0.000, 0.000)
Bi (0.667, 0.333, 0.667)
Dy (0.167, 0.667, 0.333)

---

3.
A plane-wave DFT calculation with PBE was carried out for Dy3BiH after structural relaxation.

E above lowest polymorph in meV/atom: 0
Density of states at the Fermi level in states/eV/atom: 0.83
Magnetic moment in μB/f.u.: 0.000

Cell: 3.976 6.595 9.584 Å, 101.37 90.00 90.00°
Sites, in units of the cell vectors:
Dy (0.750, 0.593, 0.356)
Dy (0.250, 0.407, 0.644)
Dy (0.750, 0.239, 0.906)
Dy (0.250, 0.908, 0.620)
Dy (0.250, 0.761, 0.094)
Dy (0.750, 0.092, 0.380)
Bi (0.250, 0.275, 0.163)
Bi (0.750, 0.725, 0.837)
H (0.250, 0.821, 0.353)
H (0.750, 0.179, 0.647)

---

4.
A plane-wave DFT calculation with PBE was carried out for Dy3BiH after structural relaxation.

E above lowest polymorph in meV/atom: 10
Density of states at the Fermi level in states/eV/atom: 1.23
Magnetic moment in μB/f.u.: 0.000

Cell: 4.845 4.845 4.845 Å, 90.00 90.00 90.00°
Sites, in units of the cell vectors:
H (0.000, 0.000, 0.000)
Bi (0.500, 0.500, 0.500)
Dy (0.000, 0.500, 0.000)
Dy (0.000, 0.000, 0.500)
Dy (0.500, 0.000, 0.000)

---

5.
A plane-wave DFT calculation with PBE was carried out for Dy2BiHN after structural relaxation.

Density of states at the Fermi level in states/eV/atom: 0.26
Magnetic moment in μB/f.u.: 0.000
Raw total energy in eV/cell: -30.10

Cell: 3.772 3.772 7.413 Å, 104.74 104.74 90.00°
Sites, in units of the cell vectors:
Dy (0.663, 0.663, 0.326)
Dy (0.337, 0.337, 0.674)
Bi (0.000, 0.000, 0.000)
H (0.250, 0.750, 0.500)
N (0.750, 0.250, 0.500)

---

6.
A plane-wave DFT calculation with PBE was carried out for Dy4TlBiH after structural relaxation.

Density of states at the Fermi level in states/eV/atom: 0.86
Magnetic moment in μB/f.u.: 0.000
Raw total energy in eV/cell: -62.88

Cell: 6.447 6.473 9.070 Å, 90.00 110.82 90.00°
Sites, in units of the cell vectors:
Dy (0.930, 0.250, 0.859)
Dy (0.424, 0.750, 0.847)
Dy (0.070, 0.750, 0.141)
Dy (0.576, 0.250, 0.153)
Dy (0.500, 0.500, 0.500)
Dy (0.000, 0.000, 0.500)
Dy (0.500, 0.000, 0.500)
Dy (0.000, 0.500, 0.500)
Tl (0.113, 0.250, 0.226)
Tl (0.887, 0.750, 0.774)
Bi (0.610, 0.750, 0.220)
Bi (0.390, 0.250, 0.780)
H (0.290, 0.750, 0.580)
H (0.710, 0.250, 0.420)

---

7.
A plane-wave DFT calculation with PBE was carried out for DyHfBi2 after structural relaxation.

Density of states at the Fermi level in states/eV/atom: 0.86
Magnetic moment in μB/f.u.: 0.000
Formation energy in eV/atom: 0.022

Cell: 3.456 3.456 11.445 Å, 81.32 81.32 60.00°
Sites, in units of the cell vectors:
Hf (0.500, 0.500, 0.500)
Bi (0.095, 0.095, 0.714)
Bi (0.905, 0.905, 0.286)
Dy (0.000, 0.000, 0.000)

---

8.
A plane-wave DFT calculation with PBE was carried out for DyHg2Bi after structural relaxation.

Density of states at the Fermi level in states/eV/atom: 0.25
Magnetic moment in μB/f.u.: 0.000
Formation energy in eV/atom: -0.399

Cell: 5.063 4.544 4.544 Å, 90.00 90.00 90.00°
Sites, in units of the cell vectors:
Dy (0.500, 0.500, 0.500)
Bi (0.500, 0.000, 0.000)
Hg (0.000, 0.000, 0.500)
Hg (0.000, 0.500, 0.000)